## Y2In2Mo (PBE-GGA)

Data for crystalline Y2In2Mo at its relaxed geometry.

a b c (Å): 7.5655 7.5655 4.4115
angles (deg): 90.00 90.00 90.00
With the nearest neighbours (Å) after each atom.
Fractional positions:
Y1 0.3260 0.1740 0.5000  6 In 3.01-3.23
In1 0.3654 0.8654 0.0000  1 In 2.88, 2 Mo 2.95, 2 Y 3.01
In2 0.8654 0.6346 0.0000  1 In 2.88, 2 Mo 2.95, 2 Y 3.01
Mo1 0.0000 0.0000 0.0000  4 In 2.95
Y2 0.6740 0.8260 0.5000  6 In 3.01-3.23
Y3 0.8260 0.3260 0.5000  6 In 3.01-3.23
In3 0.6346 0.1346 0.0000  1 In 2.88, 2 Mo 2.95, 2 Y 3.01
In4 0.1346 0.3654 0.0000  1 In 2.88, 2 Mo 2.95, 2 Y 3.01
Mo2 0.5000 0.5000 0.0000  4 In 2.95
Y4 0.1740 0.6740 0.5000  6 In 3.01-3.23

Properties
Formation energy in eV/f.u.: 0.17
Space group: No. 127
E in eV per atom: -5.813